# 1
## Pr2HoSb3Rh4 (PBE-GGA)

Data for a geometry-optimized Pr2HoSb3Rh4 structure.

Results
* formation energy (no corrections): -8.7 eV/f.u.
* mass density: 9.126 Mg/m³
* symmetry: No. 115

Cell and atoms, written as CIF:
```
data_Pr2HoSb3Rh4
_chemical_formula_sum 'Pr2 Ho1 Sb3 Rh4'
_space_group_name_H-M_alt 'P 1'
_space_group_IT_number 1
_cell_length_a 4.425
_cell_length_b 4.425
_cell_length_c 11.369
_cell_angle_alpha 90.00
_cell_angle_beta 90.00
_cell_angle_gamma 90.00
loop_
_space_group_symop_operation_xyz
'x,y,z'
loop_
_atom_site_label
_atom_site_fract_x
_atom_site_fract_y
_atom_site_fract_z
Pr1 0.000 0.500 0.228
Pr2 0.500 0.000 0.772
Ho1 0.000 0.000 0.500
Sb1 0.000 0.500 0.870
Sb2 0.500 0.000 0.130
Sb3 0.500 0.500 0.500
Rh1 0.000 0.000 0.000
Rh2 0.000 0.500 0.644
Rh3 0.500 0.000 0.356
Rh4 0.500 0.500 0.000
```


# 2
## PrHoSb2Rh5 (PBE-GGA)

Data for a geometry-optimized PrHoSb2Rh5 structure.

Results
* formation energy (no corrections): -4.5 eV/f.u.
* mass density: 9.783 Mg/m³
* symmetry: No. 123

Cell and atoms, written as CIF:
```
data_PrHoSb2Rh5
_chemical_formula_sum 'Pr1 Ho1 Sb2 Rh5'
_space_group_name_H-M_alt 'P 1'
_space_group_IT_number 1
_cell_length_a 4.486
_cell_length_b 4.486
_cell_length_c 8.972
_cell_angle_alpha 90.00
_cell_angle_beta 90.00
_cell_angle_gamma 90.00
loop_
_space_group_symop_operation_xyz
'x,y,z'
loop_
_atom_site_label
_atom_site_fract_x
_atom_site_fract_y
_atom_site_fract_z
Pr1 0.000 0.000 0.000
Ho1 0.000 0.000 0.500
Sb1 0.500 0.500 0.343
Sb2 0.500 0.500 0.657
Rh1 0.000 0.500 0.220
Rh2 0.000 0.500 0.780
Rh3 0.500 0.000 0.220
Rh4 0.500 0.000 0.780
Rh5 0.500 0.500 0.000
```


# 3
## Pr2HoTa2Rh5 (PBE-GGA)

Data for a geometry-optimized Pr2HoTa2Rh5 structure.

Results
* mass density: 10.768 Mg/m³
* ΔE_f: -0.444 eV/atom
* symmetry: No. 127

Cell and atoms, written as CIF:
```
data_Pr2HoTa2Rh5
_chemical_formula_sum 'Pr4 Ho2 Ta4 Rh10'
_space_group_name_H-M_alt 'P 1'
_space_group_IT_number 1
_cell_length_a 10.747
_cell_length_b 10.747
_cell_length_c 3.534
_cell_angle_alpha 90.00
_cell_angle_beta 90.00
_cell_angle_gamma 90.00
loop_
_space_group_symop_operation_xyz
'x,y,z'
loop_
_atom_site_label
_atom_site_fract_x
_atom_site_fract_y
_atom_site_fract_z
Pr1 0.175 0.325 0.000
Pr2 0.325 0.825 0.000
Pr3 0.675 0.175 0.000
Pr4 0.825 0.675 0.000
Ho1 0.000 0.000 0.000
Ho2 0.500 0.500 0.000
Ta1 0.127 0.627 0.000
Ta2 0.373 0.127 0.000
Ta3 0.627 0.873 0.000
Ta4 0.873 0.373 0.000
Rh1 0.000 0.500 0.500
Rh2 0.054 0.788 0.500
Rh3 0.212 0.054 0.500
Rh4 0.288 0.554 0.500
Rh5 0.446 0.288 0.500
Rh6 0.500 0.000 0.500
Rh7 0.554 0.712 0.500
Rh8 0.712 0.446 0.500
Rh9 0.788 0.946 0.500
Rh10 0.946 0.212 0.500
```


# 4
## PrHoZnRh (PBE-GGA)

Data for a geometry-optimized PrHoZnRh structure.

Results
* mass density: 8.725 Mg/m³
* ΔE_f: -0.520 eV/atom
* symmetry: No. 216

Cell and atoms, written as CIF:
```
data_PrHoZnRh
_chemical_formula_sum 'Pr1 Ho1 Zn1 Rh1'
_space_group_name_H-M_alt 'P 1'
_space_group_IT_number 1
_cell_length_a 5.035
_cell_length_b 5.035
_cell_length_c 5.035
_cell_angle_alpha 60.00
_cell_angle_beta 60.00
_cell_angle_gamma 60.00
loop_
_space_group_symop_operation_xyz
'x,y,z'
loop_
_atom_site_label
_atom_site_fract_x
_atom_site_fract_y
_atom_site_fract_z
Pr1 0.000 0.000 0.000
Ho1 0.500 0.500 0.500
Zn1 0.250 0.250 0.250
Rh1 0.750 0.750 0.750
```


# 5
## PrHoZnRh (PBE-GGA)

Data for a geometry-optimized PrHoZnRh structure.

Results
* mass density: 8.361 Mg/m³
* ΔE_f: -0.540 eV/atom
* symmetry: No. 38

Cell and atoms, written as CIF:
```
data_PrHoZnRh
_chemical_formula_sum 'Pr1 Ho1 Zn1 Rh1'
_space_group_name_H-M_alt 'P 1'
_space_group_IT_number 1
_cell_length_a 4.412
_cell_length_b 5.744
_cell_length_c 5.744
_cell_angle_alpha 40.31
_cell_angle_beta 90.00
_cell_angle_gamma 90.00
loop_
_space_group_symop_operation_xyz
'x,y,z'
loop_
_atom_site_label
_atom_site_fract_x
_atom_site_fract_y
_atom_site_fract_z
Pr1 0.000 0.000 0.000
Ho1 0.500 0.719 0.719
Zn1 0.500 0.424 0.424
Rh1 0.000 0.279 0.279
```


# 6
## PrHoRu2 (PBE-GGA)

Data for a geometry-optimized PrHoRu2 structure.

Results
* mass density: 10.183 Mg/m³
* ΔE_f: -0.169 eV/atom
* symmetry: No. 123

Cell and atoms, written as CIF:
```
data_PrHoRu2
_chemical_formula_sum 'Pr1 Ho1 Ru2'
_space_group_name_H-M_alt 'P 1'
_space_group_IT_number 1
_cell_length_a 3.457
_cell_length_b 3.457
_cell_length_c 6.931
_cell_angle_alpha 90.00
_cell_angle_beta 90.00
_cell_angle_gamma 90.00
loop_
_space_group_symop_operation_xyz
'x,y,z'
loop_
_atom_site_label
_atom_site_fract_x
_atom_site_fract_y
_atom_site_fract_z
Pr1 0.000 0.000 0.000
Ho1 0.000 0.000 0.500
Ru1 0.500 0.500 0.260
Ru2 0.500 0.500 0.740
```